[1]
Here is HAuN3 after structural relaxation from the Alexandria database. Energies are from GGA-PBE.

The structure in CIF format:
```
data_HAuN3
_chemical_formula_sum 'H1 Au1 N3'
_space_group_name_H-M_alt 'P m -3 m'
_space_group_IT_number 221
_space_group_name_Hall '-P 4 2 3'
_cell_length_a 4.0116
_cell_length_b 4.0116
_cell_length_c 4.0116
_cell_angle_alpha 90.00
_cell_angle_beta 90.00
_cell_angle_gamma 90.00
loop_
_atom_site_label
_atom_site_type_symbol
_atom_site_fract_x
_atom_site_fract_y
_atom_site_fract_z
H1 H 0.0000 0.0000 0.0000
Au1 Au 0.5000 0.5000 0.5000
N1 N 0.0000 0.5000 0.5000
```

Summary:
total moment = 0.00 μB/atom
raw total energy = -3.10 eV/atom
calculated volume = 12.911 A^3/atom
calculated density = 6173 kg/m³

***

[2]
Here is HAuN3 after structural relaxation from the Alexandria database. Energies are from GGA-PBE.

The structure in CIF format:
```
data_HAuN3
_chemical_formula_sum 'H1 Au1 N3'
_space_group_name_H-M_alt 'P m -3 m'
_space_group_IT_number 221
_space_group_name_Hall '-P 4 2 3'
_cell_length_a 3.4658
_cell_length_b 3.4658
_cell_length_c 3.4658
_cell_angle_alpha 90.00
_cell_angle_beta 90.00
_cell_angle_gamma 90.00
loop_
_atom_site_label
_atom_site_type_symbol
_atom_site_fract_x
_atom_site_fract_y
_atom_site_fract_z
H1 H 0.0000 0.0000 0.0000
Au1 Au 0.5000 0.5000 0.5000
N1 N 0.0000 0.0000 0.5000
```

Summary:
total moment = 0.00 μB/atom
raw total energy = -3.58 eV/atom
calculated volume = 8.326 A^3/atom
calculated density = 9573 kg/m³